Computed, not measured: crystalline Na3Cd4Sb4 at its relaxed geometry at the PBE level of DFT.

a = 5.080 Å, b = 7.496 Å, c = 9.415 Å
α = 113.46°, β = 105.65°, γ = 90.00°
Atoms (fractional coordinates):
Cd (0.332, 0.534, 0.663)
Cd (0.668, 0.870, 0.337)
Cd (0.332, 0.130, 0.663)
Cd (0.668, 0.466, 0.337)
Sb (0.500, 0.801, 0.000)
Sb (0.781, 0.281, 0.562)
Sb (0.500, 0.199, 0.000)
Sb (0.219, 0.719, 0.438)
Na (0.895, 0.895, 0.790)
Na (0.000, 0.500, 0.000)
Na (0.105, 0.105, 0.210)

space-group type = Immm
crystal system = orthorhombic
raw total energy = -2.39 eV per atom

---

Computed, not measured: crystalline Y2TaRu at its relaxed geometry at the PBE level of DFT.

a = 5.722 Å, b = 5.722 Å, c = 5.722 Å
α = 137.24°, β = 137.24°, γ = 62.08°
Atoms (fractional coordinates):
Y (0.500, 0.500, 0.000)
Y (0.000, 0.000, 0.000)
Ru (0.250, 0.750, 0.500)
Ta (0.750, 0.250, 0.500)

ΔH_f (0 K) = 385 meV/atom
space-group type = I4/mmm
crystal system = tetragonal
energy relative to the lowest polymorph listed for this composition = 494 meV/atom

---

Computed, not measured: crystalline Ho2ScPd2 at its relaxed geometry at the PBE level of DFT.

a = 3.949 Å, b = 7.564 Å, c = 7.564 Å
α = 90.00°, β = 90.00°, γ = 90.00°
Atoms (fractional coordinates):
Ho (0.000, 0.331, 0.669)
Ho (0.000, 0.669, 0.331)
Ho (0.000, 0.831, 0.831)
Ho (0.000, 0.169, 0.169)
Pd (0.500, 0.866, 0.134)
Pd (0.500, 0.634, 0.634)
Pd (0.500, 0.366, 0.366)
Pd (0.500, 0.134, 0.866)
Sc (0.500, 0.500, 0.000)
Sc (0.500, 0.000, 0.500)

ΔH_f (0 K) = -744 meV/atom
space-group type = P4/mbm
crystal system = tetragonal
energy relative to the lowest polymorph listed for this composition = 0 meV/atom

---

Computed, not measured: crystalline MnBeRh at its relaxed geometry at the PBE level of DFT.

a = 7.066 Å, b = 4.790 Å, c = 4.077 Å
α = 90.00°, β = 90.00°, γ = 90.00°
Each line ends with the local moment (μB).
Atoms (fractional coordinates):
Be (0.667, 0.250, 0.000)  -0.04
Be (0.833, 0.750, 0.500)  -0.04
Be (0.167, 0.250, 0.500)  -0.04
Be (0.333, 0.750, 0.000)  -0.04
Mn (0.000, 0.000, 0.000)  2.50
Mn (0.500, 0.000, 0.500)  2.50
Mn (0.500, 0.500, 0.500)  2.50
Mn (0.000, 0.500, 0.000)  2.50
Rh (0.333, 0.250, 0.000)  0.15
Rh (0.833, 0.250, 0.500)  0.15
Rh (0.167, 0.750, 0.500)  0.15
Rh (0.667, 0.750, 0.000)  0.15

ΔH_f (0 K) = -270 meV/atom
space-group type = P6_3/mmc
crystal system = hexagonal
energy relative to the lowest polymorph listed for this composition = 73 meV/atom

---

Computed, not measured: crystalline Ac2PmTm at its relaxed geometry at the PBE level of DFT.

a = 3.811 Å, b = 3.811 Å, c = 12.330 Å
α = 81.11°, β = 81.11°, γ = 60.00°
Atoms (fractional coordinates):
Pm (0.499, 0.499, 0.503)
Ac (0.252, 0.252, 0.245)
Ac (0.082, 0.082, 0.754)
Tm (0.667, 0.667, 0.998)

ΔH_f (0 K) = 69 meV/atom
space-group type = R3m
crystal system = trigonal
energy relative to the lowest polymorph listed for this composition = 24 meV/atom

---

Computed, not measured: crystalline SiBiBr3 at its relaxed geometry at the PBE level of DFT.

a = 5.777 Å, b = 5.777 Å, c = 5.777 Å
α = 90.00°, β = 90.00°, γ = 90.00°
Each line ends with the local moment (μB).
Atoms (fractional coordinates):
Br (0.500, 0.000, 0.000)  0.00
Br (0.000, 0.500, 0.000)  0.00
Br (0.000, 0.000, 0.500)  0.00
Bi (0.000, 0.000, 0.000)  0.11
Si (0.500, 0.500, 0.500)  0.47

space-group type = Pm-3m
crystal system = cubic
energy relative to the lowest polymorph listed for this composition = 231 meV/atom

---

Computed, not measured: crystalline Al2V5Cr2Ga at its relaxed geometry at the PBE level of DFT.

a = 3.087 Å, b = 9.639 Å, c = 9.639 Å
α = 90.00°, β = 90.00°, γ = 90.00°
Atoms (fractional coordinates):
Cr (0.000, 0.129, 0.629)
Cr (0.000, 0.371, 0.129)
Cr (0.000, 0.871, 0.371)
Cr (0.000, 0.629, 0.871)
Al (0.000, 0.828, 0.672)
Al (0.000, 0.672, 0.172)
Al (0.000, 0.172, 0.328)
Al (0.000, 0.328, 0.828)
V (0.500, 0.301, 0.571)
V (0.500, 0.571, 0.699)
V (0.500, 0.500, 0.000)
V (0.500, 0.199, 0.071)
V (0.500, 0.071, 0.801)
V (0.500, 0.000, 0.500)
V (0.500, 0.801, 0.929)
V (0.500, 0.699, 0.429)
V (0.500, 0.429, 0.301)
V (0.500, 0.929, 0.199)
Ga (0.000, 0.000, 0.000)
Ga (0.000, 0.500, 0.500)

ΔH_f (0 K) = 85 meV/atom
space-group type = P4/mbm
crystal system = tetragonal

---

Computed, not measured: crystalline K2AlOs at its relaxed geometry at the PBE level of DFT.

a = 10.480 Å, b = 10.480 Å, c = 10.480 Å
α = 158.58°, β = 162.86°, γ = 27.56°
Atoms (fractional coordinates):
K (0.895, 0.895, 0.000)
K (0.605, 0.605, 0.000)
Os (0.750, 0.250, 0.500)
Al (0.250, 0.750, 0.500)

ΔH_f (0 K) = 418 meV/atom
space-group type = Immm
crystal system = orthorhombic

---

Computed, not measured: crystalline K4Th3MnS8 at its relaxed geometry at the PBE level of DFT.

a = 8.143 Å, b = 8.808 Å, c = 8.145 Å
α = 117.56°, β = 119.99°, γ = 90.00°
Each line ends with the local moment (μB).
Atoms (fractional coordinates):
S (0.770, 0.296, 0.539)  0.02
S (0.743, 0.703, 0.973)  0.02
S (0.230, 0.704, 0.461)  0.02
S (0.230, 0.703, 0.973)  0.02
S (0.770, 0.297, 0.027)  0.02
S (0.257, 0.297, 0.027)  0.02
S (0.739, 0.717, 0.478)  0.00
S (0.261, 0.283, 0.522)  0.00
K (0.500, 0.000, 0.000)  0.00
K (0.000, 0.000, 0.000)  0.00
K (0.000, 0.000, 0.500)  0.00
K (0.500, 0.000, 0.500)  0.00
Th (0.500, 0.500, 0.000)  -0.15
Th (0.500, 0.500, 0.500)  -0.15
Th (0.000, 0.500, 0.500)  -0.15
Mn (0.000, 0.500, 0.000)  4.22

space-group type = R-3m
crystal system = trigonal
raw total energy = -5.82 eV per atom

---

Computed, not measured: crystalline CoOs2AuBr at its relaxed geometry at the PBE level of DFT.

a = 5.015 Å, b = 4.794 Å, c = 5.015 Å
α = 90.00°, β = 90.00°, γ = 90.00°
Each line ends with the local moment (μB).
Atoms (fractional coordinates):
Au (0.000, 0.000, 0.000)  0.23
Os (0.500, 0.000, 0.000)  2.09
Os (0.000, 0.000, 0.500)  2.83
Br (0.500, 0.500, 0.500)  0.20
Co (0.000, 0.500, 0.000)  2.11

space-group type = P4/mmm
crystal system = tetragonal
raw total energy = -4.46 eV per atom

---

Computed, not measured: crystalline CrOsAu2 at its relaxed geometry at the PBE level of DFT.

a = 4.866 Å, b = 4.866 Å, c = 4.861 Å
α = 77.91°, β = 77.91°, γ = 34.67°
Each line ends with the local moment (μB).
Atoms (fractional coordinates):
Au (0.996, 0.996, 0.002)  0.01
Au (0.758, 0.758, 0.749)  0.00
Os (0.235, 0.235, 0.273)  -0.55
Cr (0.512, 0.512, 0.476)  2.61

ΔH_f (0 K) = 407 meV/atom
space-group type = Cm
crystal system = monoclinic
energy relative to the lowest polymorph listed for this composition = 197 meV/atom

---

Computed, not measured: crystalline MgZrTl2 at its relaxed geometry at the PBE level of DFT.

a = 3.542 Å, b = 3.542 Å, c = 7.815 Å
α = 90.00°, β = 90.00°, γ = 90.00°
Atoms (fractional coordinates):
Tl (0.500, 0.500, 0.259)
Tl (0.000, 0.000, 0.983)
Mg (0.500, 0.500, 0.746)
Zr (0.000, 0.000, 0.512)

ΔH_f (0 K) = 96 meV/atom
space-group type = P4mm
crystal system = tetragonal

---

no.,size of the total moment (μB per formula unit)
1,0.0
2,0.0
3,0.0
4,2.7
5,0.0
6,1.7
7,0.0
8,0.0
9,3.6
10,8.0
11,2.2
12,0.0